# 1
The following is a PBE calculation of crystalline RbCaGe3 at its relaxed geometry, from Alexandria.

Cell and atoms, written as POSCAR:
```
RbCaGe3
1.0
5.606 0.000 0.000
0.000 5.606 0.000
0.000 0.000 5.606
Rb Ca Ge
1 1 3
Direct
0.000 0.000 0.000
0.500 0.500 0.500
0.000 0.500 0.500
0.500 0.000 0.500
0.500 0.500 0.000
```

Calculated values
- raw total energy (eV/atom) = -2.828
- crystal system = cubic
- E_form (kJ/mol of atoms) = 51.7


# 2
The following is a PBE calculation of crystalline RbCa2Ge at its relaxed geometry, from Alexandria.

Cell and atoms, written as POSCAR:
```
RbCa2Ge
1.0
-4.411 4.411 6.668
4.411 -4.411 6.668
4.411 4.411 -6.668
Rb Ca Ge
2 4 2
Direct
0.000 0.000 0.000
0.750 0.250 0.500
0.374 0.125 0.749
0.375 0.626 0.751
0.376 0.625 0.251
0.875 0.624 0.249
0.250 0.750 0.500
0.500 0.500 0.000
```

Calculated values
- raw total energy (eV/atom) = -2.324
- crystal system = tetragonal
- E_form (kJ/mol of atoms) = 7.1